(1)
Density functional theory data (PBEsol) for a relaxed LuPt crystal.

Final energy in eV per atom: -7.2311
Energy relative to the elements in kJ/mol of atoms: -126.70

abc: 4.4364 5.4151 6.6481
angles: 90.00 90.00 90.00
Positions (direct):
Pt (0.2500, 0.3425, 0.5428)
Lu (0.7500, 0.1429, 0.3191)
Pt (0.7500, 0.8425, 0.9572)
Lu (0.7500, 0.3571, 0.8191)
Lu (0.2500, 0.6429, 0.1809)
Pt (0.7500, 0.6575, 0.4572)
Pt (0.2500, 0.1575, 0.0428)
Lu (0.2500, 0.8571, 0.6809)

(2)
Density functional theory data (PBEsol) for a relaxed Lu3Pt crystal.

Final energy in eV per atom: -6.1360
Energy relative to the elements in kJ/mol of atoms: -71.49

abc: 6.2990 6.8046 9.0524
angles: 90.00 90.00 90.00
Positions (direct):
Lu (0.1842, 0.1846, 0.4422)
Pt (0.0389, 0.8967, 0.2500)
Lu (0.6842, 0.3154, 0.9422)
Lu (0.3158, 0.6846, 0.0578)
Lu (0.1842, 0.1846, 0.0578)
Pt (0.9611, 0.1033, 0.7500)
Lu (0.1175, 0.4768, 0.7500)
Lu (0.6175, 0.0232, 0.2500)
Pt (0.5389, 0.6033, 0.7500)
Lu (0.8825, 0.5232, 0.2500)
Lu (0.3158, 0.6846, 0.4422)
Pt (0.4611, 0.3967, 0.2500)
Lu (0.8158, 0.8154, 0.9422)
Lu (0.8158, 0.8154, 0.5578)
Lu (0.3825, 0.9768, 0.7500)
Lu (0.6842, 0.3154, 0.5578)

(3)
Density functional theory data (PBEsol) for a relaxed LuPt3 crystal.

Final energy in eV per atom: -7.5457
Energy relative to the elements in kJ/mol of atoms: -106.61

abc: 4.0121 4.0121 4.0121
angles: 90.00 90.00 90.00
Positions (direct):
Pt (0.5000, 0.0000, 0.5000)
Pt (0.5000, 0.5000, 0.0000)
Lu (0.0000, 0.0000, 0.0000)
Pt (0.0000, 0.5000, 0.5000)

(4)
Density functional theory data (PBEsol) for a relaxed Lu2RuPt crystal.

Final energy in eV per atom: -7.6149
Energy relative to the elements in kJ/mol of atoms: -86.33

abc: 4.6874 4.6874 4.6874
angles: 60.00 60.00 60.00
Positions (direct):
Pt (0.5000, 0.5000, 0.5000)
Lu (0.7500, 0.7500, 0.7500)
Lu (0.2500, 0.2500, 0.2500)
Ru (0.0000, 0.0000, 0.0000)

(5)
Density functional theory data (PBEsol) for a relaxed LuSiPt crystal.

Formation energy (no corrections) in meV/atom: -1267
Final energy in eV per atom: -7.1273

abc: 4.2078 6.7554 7.3153
angles: 90.00 90.00 90.00
Positions (direct):
Lu (0.7500, 0.0034, 0.7001)
Pt (0.7500, 0.2991, 0.4145)
Si (0.2500, 0.3127, 0.5885)
Lu (0.7500, 0.5034, 0.7999)
Si (0.7500, 0.6873, 0.4115)
Pt (0.2500, 0.7009, 0.5855)
Si (0.2500, 0.8127, 0.9115)
Pt (0.2500, 0.2009, 0.9145)
Si (0.7500, 0.1873, 0.0885)
Lu (0.2500, 0.9966, 0.2999)
Pt (0.7500, 0.7991, 0.0855)
Lu (0.2500, 0.4966, 0.2001)

(6)
Density functional theory data (PBEsol) for a relaxed Lu2ZnPt crystal.

Final energy in eV per atom: -5.4227
Energy relative to the elements in kJ/mol of atoms: -82.03

abc: 4.7982 4.7982 4.7982
angles: 60.00 60.00 60.00
Positions (direct):
Lu (0.2500, 0.2500, 0.2500)
Pt (0.5000, 0.5000, 0.5000)
Zn (0.0000, 0.0000, 0.0000)
Lu (0.7500, 0.7500, 0.7500)

(7)
Density functional theory data (PBEsol) for a relaxed RbLuS2 crystal.

Formation energy (no corrections) in meV/atom: -1880
Final energy in eV per atom: -5.5468

abc: 3.9286 3.9286 7.8790
angles: 75.56 75.56 60.00
Positions (direct):
S (0.7700, 0.7700, 0.6900)
S (0.2300, 0.2300, 0.3100)
Rb (0.0000, 0.0000, 0.0000)
Lu (0.5000, 0.5000, 0.5000)

(8)
Density functional theory data (PBEsol) for a relaxed LuRh2 crystal.

Final energy in eV per atom: -7.8170
Energy relative to the elements in kJ/mol of atoms: -74.03

abc: 5.2005 5.2005 5.2005
angles: 60.00 60.00 60.00
Positions (direct):
Lu (0.0000, 0.0000, 0.0000)
Lu (0.2500, 0.2500, 0.2500)
Rh (0.1250, 0.6250, 0.6250)
Rh (0.6250, 0.1250, 0.6250)
Rh (0.6250, 0.6250, 0.6250)
Rh (0.6250, 0.6250, 0.1250)